An optimized crystal structure of CsPrTlSe3, computed with PBE.

Unit cell a=8.412 b=8.412 c=11.889 alpha=90.00 beta=90.00 gamma=148.96
Positions (direct):
Cs 0.236 0.764 0.750
Cs 0.764 0.236 0.250
Pr 0.500 0.500 0.000
Pr 0.500 0.500 0.500
Tl 0.059 0.941 0.250
Tl 0.941 0.059 0.750
Se 0.123 0.877 0.028
Se 0.123 0.877 0.472
Se 0.449 0.551 0.250
Se 0.551 0.449 0.750
Se 0.877 0.123 0.528
Se 0.877 0.123 0.972

Results
Spin magnetization, μB per atom: 0.0045
Space group: No. 63
Raw total energy, eV per formula unit: -25.27